1.
This record from Alexandria describes CrCdSnIr2 after structural relaxation. The functional is PBE.

a = 4.890 Å, b = 4.890 Å, c = 4.980 Å
α = 90.00°, β = 90.00°, γ = 90.00°
Positions (direct):
Cr: 0.000 0.000 0.000
Cd: 0.500 0.500 0.500
Sn: 0.500 0.500 0.000
Ir: 0.000 0.500 0.500
Ir: 0.500 0.000 0.500

VASP energy, eV/atom: -4.152
Density, Mg/m³: 9.31
E_form, meV per atom: 2300

=====

2.
This record from Alexandria describes CdSbO after structural relaxation. The functional is PBE.

a = 4.925 Å, b = 4.925 Å, c = 5.492 Å
α = 100.78°, β = 100.78°, γ = 101.60°
Positions (direct):
Cd: 0.241 0.241 0.407
Cd: 0.759 0.759 0.593
Sb: 0.000 0.500 0.000
Sb: 0.500 0.000 0.000
O: 0.161 0.161 0.773
O: 0.839 0.839 0.227

VASP energy, eV/atom: -3.896
Density, Mg/m³: 6.67
Relative energy among the computed polymorphs, eV/f.u.: 0.24
Formation energy from raw total energies, eV per atom: -0.564

=====

3.
This record from Alexandria describes LiSc2Zn after structural relaxation. The functional is PBE.

a = 5.423 Å, b = 5.423 Å, c = 5.423 Å
α = 134.94°, β = 134.94°, γ = 65.62°
Positions (direct):
Li: 0.000 0.000 0.000
Sc: 0.250 0.750 0.500
Sc: 0.500 0.500 0.000
Zn: 0.750 0.250 0.500

VASP energy, eV/atom: -3.938
Density, Mg/m³: 3.42
E_form, meV per atom: 24

=====

4.
This record from Alexandria describes Y2CrP after structural relaxation. The functional is PBE.

a = 6.435 Å, b = 6.435 Å, c = 6.435 Å
α = 145.97°, β = 142.20°, γ = 51.77°
Positions (direct):
Y: 0.000 0.000 0.000
Y: 0.741 0.241 0.500
Cr: 0.452 0.452 0.000
P: 0.315 0.815 0.500

VASP energy, eV/atom: -7.342
Density, Mg/m³: 4.76
E_form, meV per atom: -352

=====

5.
This record from Alexandria describes Pr10Ho6Th after structural relaxation. The functional is PBE.

a = 9.869 Å, b = 9.869 Å, c = 7.009 Å
α = 90.00°, β = 90.00°, γ = 120.00°
Positions (direct):
Pr: 0.000 0.278 0.323
Pr: 0.000 0.722 0.677
Pr: 0.278 0.000 0.323
Pr: 0.278 0.278 0.677
Pr: 0.333 0.667 0.000
Pr: 0.333 0.667 0.500
Pr: 0.667 0.333 0.000
Pr: 0.667 0.333 0.500
Pr: 0.722 0.000 0.677
Pr: 0.722 0.722 0.323
Ho: 0.000 0.362 0.820
Ho: 0.000 0.638 0.180
Ho: 0.362 0.000 0.820
Ho: 0.362 0.362 0.180
Ho: 0.638 0.000 0.180
Ho: 0.638 0.638 0.820
Th: 0.000 0.000 0.000

VASP energy, eV/atom: -4.716
Density, Mg/m³: 7.39
E_form, meV per atom: 148

=====

6.
This record from Alexandria describes Y2Zn16Ga after structural relaxation. The functional is PBE.

a = 6.797 Å, b = 6.797 Å, c = 6.797 Å
α = 83.09°, β = 83.09°, γ = 83.09°
Positions (direct):
Y: 0.000 0.000 0.000
Y: 0.331 0.331 0.331
Zn: 0.018 0.018 0.499
Zn: 0.018 0.499 0.018
Zn: 0.171 0.663 0.663
Zn: 0.315 0.315 0.830
Zn: 0.315 0.830 0.315
Zn: 0.363 0.666 0.968
Zn: 0.363 0.968 0.666
Zn: 0.499 0.018 0.018
Zn: 0.569 0.569 0.569
Zn: 0.663 0.171 0.663
Zn: 0.663 0.663 0.171
Zn: 0.666 0.363 0.968
Zn: 0.666 0.968 0.363
Zn: 0.830 0.315 0.315
Zn: 0.968 0.363 0.666
Zn: 0.968 0.666 0.363
Ga: 0.766 0.766 0.766

VASP energy, eV/atom: -2.147
Density, Mg/m³: 6.98
E_form, meV per atom: -234

=====

7.
This record from Alexandria describes PrGaBi2 after structural relaxation. The functional is PBE.

a = 4.889 Å, b = 4.889 Å, c = 4.792 Å
α = 90.00°, β = 90.00°, γ = 90.00°
Positions (direct):
Pr: 0.000 0.000 0.000
Ga: 0.500 0.500 0.000
Bi: 0.000 0.500 0.500
Bi: 0.500 0.000 0.500

VASP energy, eV/atom: -4.331
Density, Mg/m³: 9.11
E_form, meV per atom: -439
Relative energy among the computed polymorphs, eV/f.u.: 0.00

=====

8.
This record from Alexandria describes SrNi2Au after structural relaxation. The functional is PBE.

a = 3.262 Å, b = 3.262 Å, c = 6.933 Å
α = 90.00°, β = 90.00°, γ = 90.00°
Positions (direct):
Sr: 0.000 0.000 0.000
Ni: 0.000 0.000 0.556
Ni: 0.500 0.500 0.690
Au: 0.500 0.500 0.322

VASP energy, eV/atom: -4.053
Density, Mg/m³: 9.05
E_form, meV per atom: 78

=====

9.
This record from Alexandria describes Ba2MnRe after structural relaxation. The functional is PBE.

a = 4.123 Å, b = 4.123 Å, c = 9.610 Å
α = 101.66°, β = 101.66°, γ = 60.01°
Positions (direct):
Ba: 0.000 0.000 0.000
Ba: 0.165 0.165 0.526
Mn: 0.749 0.749 0.263
Re: 0.416 0.416 0.263

VASP energy, eV/atom: -5.895
Density, Mg/m³: 6.23
E_form, meV per atom: 471
Relative energy among the computed polymorphs, eV/f.u.: 0.00

=====

10.
This record from Alexandria describes AcPuReSi2 after structural relaxation. The functional is PBE.

a = 6.707 Å, b = 6.707 Å, c = 6.707 Å
α = 143.03°, β = 143.03°, γ = 53.28°
Positions (direct):
Ac: 0.000 0.000 0.000
Pu: 0.250 0.750 0.500
Re: 0.750 0.250 0.500
Si: 0.397 0.397 0.000
Si: 0.603 0.603 0.000

VASP energy, eV/atom: -8.565
Density, Mg/m³: 10.92
Formation energy from raw total energies, eV per atom: -0.219

=====

11.
This record from Alexandria describes KTaAg4 after structural relaxation. The functional is PBE.

a = 5.666 Å, b = 5.666 Å, c = 5.666 Å
α = 60.00°, β = 60.00°, γ = 60.00°
Positions (direct):
K: 0.000 0.000 0.000
Ta: 0.750 0.750 0.750
Ag: 0.376 0.376 0.376
Ag: 0.376 0.376 0.873
Ag: 0.376 0.873 0.376
Ag: 0.873 0.376 0.376

VASP energy, eV/atom: -3.364
Density, Mg/m³: 8.41
E_form, meV per atom: 695

=====

12.
This record from Alexandria describes Pm4Sb2C after structural relaxation. The functional is PBE.

a = 8.833 Å, b = 8.833 Å, c = 8.833 Å
α = 147.49°, β = 147.49°, γ = 46.63°
Positions (direct):
Pm: 0.000 0.500 0.500
Pm: 0.159 0.159 0.000
Pm: 0.500 0.000 0.500
Pm: 0.841 0.841 0.000
Sb: 0.359 0.359 0.000
Sb: 0.641 0.641 0.000
C: 0.000 0.000 0.000

VASP energy, eV/atom: -5.935
Density, Mg/m³: 7.00
Relative energy among the computed polymorphs, eV/f.u.: 0.00
Formation energy from raw total energies, eV per atom: -0.725

=====

13.
This record from Alexandria describes Ca3InPb2 after structural relaxation. The functional is PBE.

a = 12.875 Å, b = 4.985 Å, c = 11.870 Å
α = 90.00°, β = 90.00°, γ = 90.00°
Positions (direct):
Ca: 0.046 0.250 0.116
Ca: 0.135 0.750 0.576
Ca: 0.209 0.250 0.816
Ca: 0.291 0.750 0.316
Ca: 0.365 0.250 0.076
Ca: 0.454 0.750 0.616
Ca: 0.546 0.250 0.384
Ca: 0.635 0.750 0.924
Ca: 0.709 0.250 0.684
Ca: 0.791 0.750 0.184
Ca: 0.865 0.250 0.424
Ca: 0.954 0.750 0.884
In: 0.137 0.250 0.369
In: 0.363 0.750 0.869
In: 0.637 0.250 0.131
In: 0.863 0.750 0.631
Pb: 0.010 0.750 0.317
Pb: 0.185 0.750 0.034
Pb: 0.315 0.250 0.534
Pb: 0.490 0.250 0.817
Pb: 0.510 0.750 0.183
Pb: 0.685 0.750 0.466
Pb: 0.815 0.250 0.966
Pb: 0.990 0.250 0.683

VASP energy, eV/atom: -3.125
Density, Mg/m³: 5.66
E_form, meV per atom: -432
Relative energy among the computed polymorphs, eV/f.u.: 0.45